No. 1
The following is a GGA-PBE calculation of CeZrU2P4 after structural relaxation, from the Alexandria database.

Summary:
- Crystal system: monoclinic
- Magnetization: 4.338 μB/cell
- Formation energy: -9.63 eV/f.u.
- D(E_F): 12.92 states/eV/cell

Unit cell a=6.767 b=3.896 c=6.843 alpha=90.00 beta=109.01 gamma=90.00
Fractional positions:
Ce: 0.000 0.000 0.000
Zr: 0.500 0.500 0.000
U: 0.000 0.500 0.500
U: 0.500 0.000 0.500
P: 0.261 0.000 0.754
P: 0.261 0.500 0.252
P: 0.739 0.000 0.246
P: 0.739 0.500 0.748



No. 2
The following is a GGA-PBE calculation of Ce3ZrU4P8 after structural relaxation, from the Alexandria database.

Summary:
- Crystal system: trigonal
- Magnetization: 9.103 μB/cell
- Formation energy: -19.34 eV/f.u.
- D(E_F): 31.00 states/eV/cell

Unit cell a=7.978 b=7.978 c=7.978 alpha=59.22 beta=59.22 gamma=59.22
Fractional positions:
Ce: 0.000 0.500 0.500
Ce: 0.500 0.000 0.500
Ce: 0.500 0.500 0.000
Zr: 0.000 0.000 0.000
U: 0.000 0.000 0.500
U: 0.000 0.500 0.000
U: 0.500 0.000 0.000
U: 0.500 0.500 0.500
P: 0.239 0.754 0.754
P: 0.246 0.246 0.246
P: 0.246 0.246 0.761
P: 0.246 0.761 0.246
P: 0.754 0.239 0.754
P: 0.754 0.754 0.239
P: 0.754 0.754 0.754
P: 0.761 0.246 0.246



No. 3
The following is a GGA-PBE calculation of CeP2W after structural relaxation, from the Alexandria database.

Summary:
- Crystal system: trigonal
- Magnetization: 1.180 μB/cell
- Formation energy: -2.95 eV/f.u.
- D(E_F): 3.67 states/eV/cell

Unit cell a=6.159 b=6.159 c=6.159 alpha=36.75 beta=36.75 gamma=36.75
Fractional positions:
Ce: 0.000 0.000 0.000
P: 0.235 0.235 0.235
P: 0.765 0.765 0.765
W: 0.500 0.500 0.500



No. 4
The following is a GGA-PBE calculation of CeY3P4 after structural relaxation, from the Alexandria database.

Summary:
- Crystal system: monoclinic
- Magnetization: 0.694 μB/cell
- Formation energy: -12.83 eV/f.u.
- D(E_F): 8.99 states/eV/cell

Unit cell a=6.974 b=8.054 c=6.982 alpha=90.00 beta=109.47 gamma=90.00
Fractional positions:
Ce: 0.000 0.127 0.250
Ce: 0.000 0.873 0.750
Y: 0.000 0.377 0.750
Y: 0.000 0.623 0.250
Y: 0.500 0.127 0.750
Y: 0.500 0.377 0.250
Y: 0.500 0.623 0.750
Y: 0.500 0.873 0.250
P: 0.250 0.125 0.000
P: 0.250 0.875 0.500
P: 0.251 0.375 0.500
P: 0.251 0.625 0.000
P: 0.749 0.375 0.000
P: 0.749 0.625 0.500
P: 0.750 0.125 0.500
P: 0.750 0.875 0.000



No. 5
The following is a GGA-PBE calculation of Ce5Y3P8 after structural relaxation, from the Alexandria database.

Summary:
- Crystal system: trigonal
- Magnetization: 2.706 μB/cell
- Formation energy: -24.76 eV/f.u.
- D(E_F): 22.31 states/eV/cell

Unit cell a=8.118 b=8.118 c=8.118 alpha=60.05 beta=60.05 gamma=60.05
Fractional positions:
Ce: 0.000 0.000 0.000
Ce: 0.000 0.500 0.500
Ce: 0.500 0.000 0.500
Ce: 0.500 0.500 0.000
Ce: 0.500 0.500 0.500
Y: 0.000 0.000 0.500
Y: 0.000 0.500 0.000
Y: 0.500 0.000 0.000
P: 0.248 0.750 0.750
P: 0.249 0.249 0.249
P: 0.250 0.250 0.752
P: 0.250 0.752 0.250
P: 0.750 0.248 0.750
P: 0.750 0.750 0.248
P: 0.751 0.751 0.751
P: 0.752 0.250 0.250



No. 6
The following is a GGA-PBE calculation of Ce5YP6 after structural relaxation, from the Alexandria database.

Summary:
- Crystal system: monoclinic
- Magnetization: 2.955 μB/cell
- Formation energy: -18.22 eV/f.u.
- D(E_F): 21.43 states/eV/cell

Unit cell a=7.064 b=7.064 c=7.062 alpha=99.59 beta=99.59 gamma=120.00
Fractional positions:
Ce: 0.000 0.000 0.000
Ce: 0.167 0.833 0.500
Ce: 0.333 0.667 0.000
Ce: 0.667 0.333 0.000
Ce: 0.833 0.167 0.500
Y: 0.500 0.500 0.500
P: 0.085 0.417 0.252
P: 0.251 0.251 0.750
P: 0.417 0.085 0.252
P: 0.583 0.915 0.748
P: 0.749 0.749 0.250
P: 0.915 0.583 0.748



No. 7
The following is a GGA-PBE calculation of CeY3P4 after structural relaxation, from the Alexandria database.

Summary:
- Crystal system: orthorhombic
- Magnetization: 0.423 μB/cell
- Formation energy: -12.81 eV/f.u.
- D(E_F): 5.37 states/eV/cell

Unit cell a=6.975 b=6.975 c=4.033 alpha=90.00 beta=90.00 gamma=109.40
Fractional positions:
Ce: 0.000 0.000 0.000
Y: 0.000 0.500 0.500
Y: 0.500 0.000 0.500
Y: 0.500 0.500 0.000
P: 0.250 0.750 0.000
P: 0.251 0.251 0.500
P: 0.749 0.749 0.500
P: 0.750 0.250 0.000



No. 8
The following is a GGA-PBE calculation of CeYP after structural relaxation, from the Alexandria database.

Summary:
- Crystal system: trigonal
- Magnetization: 2.024 μB/cell
- Formation energy: -2.63 eV/f.u.
- D(E_F): 5.34 states/eV/cell

Unit cell a=3.900 b=3.900 c=6.521 alpha=90.00 beta=90.00 gamma=120.00
Fractional positions:
Ce: 0.000 0.000 0.000
Y: 0.667 0.333 0.493
P: 0.333 0.667 0.741



No. 9
The following is a GGA-PBE calculation of CeY5P6 after structural relaxation, from the Alexandria database.

Summary:
- Crystal system: monoclinic
- Magnetization: 0.269 μB/cell
- Formation energy: -19.38 eV/f.u.
- D(E_F): 4.79 states/eV/cell

Unit cell a=6.966 b=6.966 c=6.968 alpha=99.59 beta=99.59 gamma=120.01
Fractional positions:
Ce: 0.000 0.000 0.000
Y: 0.167 0.833 0.500
Y: 0.333 0.667 0.000
Y: 0.500 0.500 0.500
Y: 0.667 0.333 0.000
Y: 0.833 0.167 0.500
P: 0.083 0.416 0.250
P: 0.250 0.250 0.751
P: 0.416 0.083 0.250
P: 0.584 0.917 0.750
P: 0.750 0.750 0.249
P: 0.917 0.584 0.750



No. 10
The following is a GGA-PBE calculation of Ce2YP after structural relaxation, from the Alexandria database.

Summary:
- Crystal system: trigonal
- Magnetization: 1.855 μB/cell
- Formation energy: -1.61 eV/f.u.
- D(E_F): 10.46 states/eV/cell

Unit cell a=10.176 b=10.176 c=10.176 alpha=21.12 beta=21.12 gamma=21.12
Fractional positions:
Ce: 0.108 0.108 0.108
Ce: 0.892 0.892 0.892
Y: 0.000 0.000 0.000
P: 0.500 0.500 0.500



No. 11
The following is a GGA-PBE calculation of Ce4YP5 after structural relaxation, from the Alexandria database.

Summary:
- Crystal system: tetragonal
- Magnetization: 2.407 μB/cell
- Formation energy: -15.22 eV/f.u.
- D(E_F): 16.47 states/eV/cell

Unit cell a=7.060 b=7.060 c=7.060 alpha=99.60 beta=99.60 gamma=131.79
Fractional positions:
Ce: 0.099 0.299 0.399
Ce: 0.299 0.901 0.200
Ce: 0.701 0.099 0.800
Ce: 0.901 0.701 0.601
Y: 0.500 0.500 0.000
P: 0.000 0.000 0.000
P: 0.201 0.600 0.801
P: 0.400 0.201 0.601
P: 0.600 0.799 0.399
P: 0.799 0.400 0.199



No. 12
The following is a GGA-PBE calculation of Ce2YP after structural relaxation, from the Alexandria database.

Summary:
- Crystal system: trigonal
- Magnetization: 2.161 μB/cell
- Formation energy: -2.22 eV/f.u.
- D(E_F): 8.49 states/eV/cell

Unit cell a=9.638 b=9.638 c=9.638 alpha=22.78 beta=22.78 gamma=22.78
Fractional positions:
Ce: 0.000 0.000 0.000
Ce: 0.210 0.210 0.210
Y: 0.439 0.439 0.439
P: 0.605 0.605 0.605



No. 13
The following is a GGA-PBE calculation of Ce2YP3 after structural relaxation, from the Alexandria database.

Summary:
- Crystal system: monoclinic
- Magnetization: 4.498 μB/cell
- Formation energy: -9.23 eV/f.u.
- D(E_F): 35.15 states/eV/cell

Unit cell a=5.751 b=12.188 c=8.127 alpha=90.00 beta=90.00 gamma=90.00
Fractional positions:
Ce: 0.249 0.249 0.375
Ce: 0.249 0.251 0.875
Ce: 0.250 0.583 0.874
Ce: 0.250 0.917 0.374
Ce: 0.750 0.083 0.626
Ce: 0.750 0.417 0.126
Ce: 0.751 0.749 0.125
Ce: 0.751 0.751 0.625
Y: 0.250 0.584 0.376
Y: 0.250 0.916 0.876
Y: 0.750 0.084 0.124
Y: 0.750 0.416 0.624
P: 0.250 0.083 0.124
P: 0.250 0.083 0.627
P: 0.250 0.417 0.127
P: 0.250 0.417 0.624
P: 0.251 0.750 0.125
P: 0.251 0.750 0.625
P: 0.749 0.250 0.375
P: 0.749 0.250 0.875
P: 0.750 0.583 0.376
P: 0.750 0.583 0.873
P: 0.750 0.917 0.373
P: 0.750 0.917 0.876



No. 14
The following is a GGA-PBE calculation of CeYP after structural relaxation, from the Alexandria database.

Summary:
- Crystal system: orthorhombic
- Magnetization: 2.671 μB/cell
- Formation energy: -2.11 eV/f.u.
- D(E_F): 12.24 states/eV/cell

Unit cell a=11.202 b=11.202 c=3.813 alpha=90.00 beta=90.00 gamma=158.59
Fractional positions:
Ce: 0.195 0.805 0.750
Ce: 0.805 0.195 0.250
Y: 0.429 0.571 0.250
Y: 0.571 0.429 0.750
P: 0.329 0.671 0.750
P: 0.671 0.329 0.250



No. 15
The following is a GGA-PBE calculation of Ce4YP6 after structural relaxation, from the Alexandria database.

Summary:
- Crystal system: trigonal
- Magnetization: 2.549 μB/cell
- Formation energy: -13.69 eV/f.u.
- D(E_F): 25.86 states/eV/cell

Unit cell a=7.956 b=7.956 c=7.956 alpha=88.77 beta=88.77 gamma=88.77
Fractional positions:
Ce: 0.130 0.750 0.370
Ce: 0.250 0.250 0.250
Ce: 0.250 0.630 0.870
Ce: 0.370 0.130 0.750
Ce: 0.630 0.870 0.250
Ce: 0.750 0.370 0.130
Ce: 0.750 0.750 0.750
Ce: 0.870 0.250 0.630
Y: 0.000 0.000 0.000
Y: 0.500 0.500 0.500
P: 0.068 0.914 0.678
P: 0.086 0.322 0.932
P: 0.178 0.414 0.568
P: 0.322 0.932 0.086
P: 0.414 0.568 0.178
P: 0.432 0.822 0.586
P: 0.568 0.178 0.414
P: 0.586 0.432 0.822
P: 0.678 0.068 0.914
P: 0.822 0.586 0.432
P: 0.914 0.678 0.068
P: 0.932 0.086 0.322



No. 16
The following is a GGA-PBE calculation of Ce3YZr2P6 after structural relaxation, from the Alexandria database.

Summary:
- Crystal system: monoclinic
- Magnetization: 0.004 μB/cell
- Formation energy: -17.91 eV/f.u.
- D(E_F): 11.19 states/eV/cell

Unit cell a=6.829 b=6.829 c=6.841 alpha=99.59 beta=99.59 gamma=120.01
Fractional positions:
Ce: 0.000 0.000 0.000
Ce: 0.336 0.664 0.000
Ce: 0.664 0.336 0.000
Y: 0.500 0.500 0.500
Zr: 0.167 0.833 0.500
Zr: 0.833 0.167 0.500
P: 0.079 0.421 0.263
P: 0.236 0.236 0.734
P: 0.421 0.079 0.263
P: 0.579 0.921 0.737
P: 0.764 0.764 0.266
P: 0.921 0.579 0.737



No. 17
The following is a GGA-PBE calculation of CeY2ZrP4 after structural relaxation, from the Alexandria database.

Summary:
- Crystal system: monoclinic
- Magnetization: 0.315 μB/cell
- Formation energy: -12.13 eV/f.u.
- D(E_F): 5.69 states/eV/cell

Unit cell a=6.843 b=3.955 c=6.853 alpha=90.00 beta=109.29 gamma=90.00
Fractional positions:
Ce: 0.000 0.000 0.000
Y: 0.500 0.000 0.500
Y: 0.500 0.500 0.000
Zr: 0.000 0.500 0.500
P: 0.239 0.000 0.738
P: 0.246 0.500 0.258
P: 0.754 0.500 0.742
P: 0.761 0.000 0.262



No. 18
The following is a GGA-PBE calculation of Ce2ZnP after structural relaxation, from the Alexandria database.

Summary:
- Crystal system: trigonal
- Magnetization: 2.534 μB/cell
- Formation energy: -1.33 eV/f.u.
- D(E_F): 11.77 states/eV/cell

Unit cell a=10.057 b=10.057 c=10.057 alpha=21.61 beta=21.61 gamma=21.61
Fractional positions:
Ce: 0.109 0.109 0.109
Ce: 0.891 0.891 0.891
Zn: 0.000 0.000 0.000
P: 0.500 0.500 0.500



No. 19
The following is a GGA-PBE calculation of CeZnP2 after structural relaxation, from the Alexandria database.

Summary:
- Crystal system: tetragonal
- Magnetization: 0.000 μB/cell
- Formation energy: -2.69 eV/f.u.
- D(E_F): 2.17 states/eV/cell

Unit cell a=4.463 b=4.463 c=3.673 alpha=90.00 beta=90.00 gamma=90.00
Fractional positions:
Ce: 0.000 0.000 0.000
Zn: 0.500 0.500 0.000
P: 0.000 0.500 0.500
P: 0.500 0.000 0.500



No. 20
The following is a GGA-PBE calculation of CeZn8P6 after structural relaxation, from the Alexandria database.

Summary:
- Crystal system: hexagonal
- Magnetization: 2.074 μB/cell
- Formation energy: -3.15 eV/f.u.
- D(E_F): 16.98 states/eV/cell

Unit cell a=7.283 b=7.283 c=13.072 alpha=90.00 beta=90.00 gamma=120.00
Fractional positions:
Ce: 0.000 0.000 0.000
Ce: 0.000 0.000 0.500
Zn: 0.000 0.312 0.298
Zn: 0.000 0.376 0.660
Zn: 0.000 0.624 0.160
Zn: 0.000 0.688 0.798
Zn: 0.312 0.000 0.298
Zn: 0.312 0.312 0.798
Zn: 0.333 0.667 0.432
Zn: 0.333 0.667 0.932
Zn: 0.376 0.000 0.660
Zn: 0.376 0.376 0.160
Zn: 0.624 0.000 0.160
Zn: 0.624 0.624 0.660
Zn: 0.667 0.333 0.432
Zn: 0.667 0.333 0.932
Zn: 0.688 0.000 0.798
Zn: 0.688 0.688 0.298
P: 0.000 0.000 0.228
P: 0.000 0.000 0.728
P: 0.000 0.379 0.479
P: 0.000 0.621 0.979
P: 0.333 0.667 0.237
P: 0.333 0.667 0.737
P: 0.379 0.000 0.479
P: 0.379 0.379 0.979
P: 0.621 0.000 0.979
P: 0.621 0.621 0.479
P: 0.667 0.333 0.237
P: 0.667 0.333 0.737



No. 21
The following is a GGA-PBE calculation of Ce4ZnP5 after structural relaxation, from the Alexandria database.

Summary:
- Crystal system: trigonal
- Magnetization: 1.930 μB/cell
- Formation energy: -11.50 eV/f.u.
- D(E_F): 13.65 states/eV/cell

Unit cell a=15.777 b=15.777 c=15.777 alpha=14.89 beta=14.89 gamma=14.89
Fractional positions:
Ce: 0.107 0.107 0.107
Ce: 0.298 0.298 0.298
Ce: 0.702 0.702 0.702
Ce: 0.893 0.893 0.893
Zn: 0.500 0.500 0.500
P: 0.000 0.000 0.000
P: 0.194 0.194 0.194
P: 0.405 0.405 0.405
P: 0.595 0.595 0.595
P: 0.806 0.806 0.806